No. 1
# LaCuGeCl2 (PBE-GGA, optimized geometry)
# Energy relative to the elements, uncorrected (meV/atom): -311
# Total moment (μB/f.u.): 1.95
data_LaCuGeCl2
_chemical_formula_sum 'La1 Cu1 Ge1 Cl2'
_cell_length_a 5.424
_cell_length_b 5.424
_cell_length_c 5.951
_cell_angle_alpha 90.00
_cell_angle_beta 90.00
_cell_angle_gamma 90.00
_space_group_name_H-M_alt 'P 4/m m m'
_space_group_IT_number 123
_space_group_name_Hall '-P 4 2'
loop_
_atom_site_label
_atom_site_fract_x
_atom_site_fract_y
_atom_site_fract_z
La1 0.000 0.000 0.000
Cu1 0.000 0.000 0.500
Ge1 0.500 0.500 0.500
Cl1 0.000 0.500 0.000

***

No. 2
# TlReNiCl2 (PBE-GGA, optimized geometry)
# Energy relative to the elements, uncorrected (meV/atom): 1502
# Total moment (μB/f.u.): 4.97
data_TlReNiCl2
_chemical_formula_sum 'Tl1 Re1 Ni1 Cl2'
_cell_length_a 5.692
_cell_length_b 5.692
_cell_length_c 4.991
_cell_angle_alpha 90.00
_cell_angle_beta 90.00
_cell_angle_gamma 90.00
_space_group_name_H-M_alt 'P 4/m m m'
_space_group_IT_number 123
_space_group_name_Hall '-P 4 2'
loop_
_atom_site_label
_atom_site_fract_x
_atom_site_fract_y
_atom_site_fract_z
Tl1 0.000 0.000 0.000
Re1 0.500 0.500 0.500
Ni1 0.000 0.000 0.500
Cl1 0.000 0.500 0.000

***

No. 3
# KCu2Ag (PBE-GGA, optimized geometry)
# Excess energy over the best structure of this formula in the dataset (eV/f.u.): 0.06
# Energy of formation (eV/atom): 0.316
# Total moment (μB/f.u.): 0.00
data_KCu2Ag
_chemical_formula_sum 'K2 Cu4 Ag2'
_cell_length_a 9.016
_cell_length_b 3.278
_cell_length_c 6.452
_cell_angle_alpha 90.00
_cell_angle_beta 100.77
_cell_angle_gamma 90.00
_space_group_name_H-M_alt 'C 1 2/m 1'
_space_group_IT_number 12
_space_group_name_Hall '-C 2y'
loop_
_atom_site_label
_atom_site_fract_x
_atom_site_fract_y
_atom_site_fract_z
K1 0.000 0.000 0.000
Cu1 0.226 0.000 0.626
Ag1 0.000 0.500 0.500